Material: NaSr2DyF8
Method: DFT, PBE
State: optimized geometry

Calculated values
Its formation energy from raw total energies is -45.887 eV per formula unit. For the magnetic moment, the calculation gives 0.0000 μB per atom. For the density of states at the Fermi level, the calculation gives 0.000 states/eV per cell.

Lattice parameters (Å, degrees): 5.6736 5.6736 11.3880 90.00 90.00 90.00
With the nearest neighbours (Å) after each atom.
Space group I-4m2 (No. 119)
One atom of each set of equivalent atoms:
Na (0.0000, 0.0000, 0.0000)  8 F 2.51
Sr (0.0000, 0.0000, 0.5000)  8 F 2.51
Sr (0.0000, 0.5000, 0.7500)  8 F 2.51
Dy (0.0000, 0.5000, 0.2500)  8 F 2.32
F (0.2352, 0.2639, 0.3679)  1 Dy 2.32, 2 Sr 2.51, 1 Na 2.51

---

Material: NaSrDyF6
Method: DFT, PBE
State: optimized geometry

Calculated values
Its formation energy from raw total energies is -33.670 eV per formula unit. For the magnetic moment, the calculation gives 0.0166 μB per atom. For the density of states at the Fermi level, the calculation gives 0.000 states/eV per cell.

Lattice parameters (Å, degrees): 5.9066 5.9066 10.3083 90.00 90.00 120.00
With the nearest neighbours (Å) after each atom.
Space group P-31c (No. 163)
One atom of each set of equivalent atoms:
Na (0.3333, 0.6667, 0.2500)  6 F 2.34
Sr (0.0000, 0.0000, 0.0000)  6 F 2.47
Dy (0.3333, 0.6667, 0.7500)  6 F 2.19
F (0.0195, 0.3529, 0.6360)  1 Dy 2.19, 1 Na 2.34

---

Material: NaDyTlF6
Method: DFT, PBE
State: optimized geometry

Calculated values
Its formation energy from raw total energies is -26.416 eV per formula unit. For the magnetic moment, the calculation gives 0.0743 μB per atom. For the density of states at the Fermi level, the calculation gives 7.293 states/eV per cell.

Lattice parameters (Å, degrees): 6.1601 6.1601 9.3003 90.00 90.00 120.00
With the nearest neighbours (Å) after each atom.
Space group P-31c (No. 163)
One atom of each set of equivalent atoms:
Na (0.0000, 0.0000, 0.0000)  6 F 2.43
Dy (0.3333, 0.6667, 0.2500)  6 F 2.21
Tl (0.3333, 0.6667, 0.7500)  6 F 2.44
F (0.0285, 0.3577, 0.1279)  1 Dy 2.21, 1 Na 2.43, 1 Tl 2.44